Entry 1:
A relaxed structure of Mn2Ag2Br7, computed with PBE.

```
data_Mn2Ag2Br7
_cell_length_a 10.2693
_cell_length_b 11.3973
_cell_length_c 7.0959
_cell_angle_alpha 90.00
_cell_angle_beta 113.44
_cell_angle_gamma 90.00
_symmetry_space_group_name_H-M 'C 1 2/m 1'
_symmetry_Int_Tables_number 12
loop_
_symmetry_equiv_pos_as_xyz
'x,y,z'
'-x,-y,-z'
'-x,y,-z'
'x,-y,z'
'x+1/2,y+1/2,z'
'-x+1/2,-y+1/2,-z'
'-x+1/2,y+1/2,-z'
'x+1/2,-y+1/2,z'
loop_
_atom_site_label
_atom_site_type_symbol
_atom_site_fract_x
_atom_site_fract_y
_atom_site_fract_z
Mn1 Mn 0.2055 0.0000 0.3970
Ag1 Ag 0.0000 0.3139 0.0000
Br1 Br 0.0000 0.0000 0.5000
Br2 Br 0.0823 0.5000 0.2746
Br3 Br 0.2210 0.1747 0.2109
```

## Properties
**Total magnetic moment**: 9.0 μB per formula unit
**Polymorph energy (0 for the lowest one)**: 0.21 eV/f.u.
**Uncorrected energy**: -3.753 eV/atom
**Fermi-level density of states**: 15.03 states/eV/cell
**Formation energy without anion corrections**: -0.5024 eV/atom



Entry 2:
A relaxed structure of Rb2CdPH, computed with PBE.

```
data_Rb2CdPH
_cell_length_a 7.3943
_cell_length_b 4.3863
_cell_length_c 9.9412
_cell_angle_alpha 90.00
_cell_angle_beta 109.96
_cell_angle_gamma 90.00
_symmetry_space_group_name_H-M 'P 1 21/m 1'
_symmetry_Int_Tables_number 11
loop_
_symmetry_equiv_pos_as_xyz
'x,y,z'
'-x,-y,-z'
'-x,y+1/2,-z'
'x,-y+1/2,z'
loop_
_atom_site_label
_atom_site_type_symbol
_atom_site_fract_x
_atom_site_fract_y
_atom_site_fract_z
Rb1 Rb 0.1722 0.2500 0.4042
Rb2 Rb 0.2262 0.2500 0.9505
Cd1 Cd 0.4650 0.7500 0.2541
P1 P 0.3503 0.7500 0.7107
H1 H 0.1901 0.7500 0.1779
```

## Properties
**Total magnetic moment**: 0.0 μB per formula unit
**Polymorph energy (0 for the lowest one)**: 0.00 eV/f.u.
**Uncorrected energy**: -2.567 eV/atom
**Fermi-level density of states**: 0.00 states/eV/cell



Entry 3:
A relaxed structure of AcAl3Cu3, computed with PBE.

```
data_AcAl3Cu3
_cell_length_a 7.2228
_cell_length_b 4.3339
_cell_length_c 8.9205
_cell_angle_alpha 90.00
_cell_angle_beta 110.56
_cell_angle_gamma 90.00
_symmetry_space_group_name_H-M 'P 1 21/m 1'
_symmetry_Int_Tables_number 11
loop_
_symmetry_equiv_pos_as_xyz
'x,y,z'
'-x,-y,-z'
'-x,y+1/2,-z'
'x,-y+1/2,z'
loop_
_atom_site_label
_atom_site_type_symbol
_atom_site_fract_x
_atom_site_fract_y
_atom_site_fract_z
Ac1 Ac 0.0548 0.2500 0.2182
Al1 Al 0.2275 0.2500 0.6663
Al2 Al 0.3532 0.7500 0.1159
Al3 Al 0.4591 0.7500 0.7128
Cu1 Cu 0.1281 0.7500 0.5052
Cu2 Cu 0.3466 0.2500 0.9745
Cu3 Cu 0.4470 0.7500 0.4173
```

## Properties
**Total magnetic moment**: 0.0 μB per formula unit
**Polymorph energy (0 for the lowest one)**: 0.00 eV/f.u.
**Uncorrected energy**: -4.190 eV/atom
**Fermi-level density of states**: 6.27 states/eV/cell



Entry 4:
A relaxed structure of Cu3AsS3, computed with PBE.

```
data_Cu3AsS3
_cell_length_a 9.9893
_cell_length_b 9.9893
_cell_length_c 9.9893
_cell_angle_alpha 90.00
_cell_angle_beta 90.00
_cell_angle_gamma 90.00
_symmetry_space_group_name_H-M 'I -4 3 m'
_symmetry_Int_Tables_number 217
_symmetry_space_group_name_Hall 'I -4 2 3'
loop_
_atom_site_label
_atom_site_type_symbol
_atom_site_fract_x
_atom_site_fract_y
_atom_site_fract_z
Cu1 Cu 0.0000 0.0000 0.1818
Cu2 Cu 0.0000 0.2500 0.5000
As1 As 0.2379 0.2379 0.2379
S1 S 0.1138 0.1138 0.6475
```

## Properties
**Total magnetic moment**: 0.0 μB per formula unit
**Polymorph energy (0 for the lowest one)**: 0.00 eV/f.u.
**Uncorrected energy**: -4.359 eV/atom
**Fermi-level density of states**: 45.58 states/eV/cell
**Formation energy without anion corrections**: -0.1703 eV/atom



Entry 5:
A relaxed structure of AcTe2Pt, computed with PBE.

```
data_AcTe2Pt
_cell_length_a 4.0359
_cell_length_b 4.0359
_cell_length_c 28.4976
_cell_angle_alpha 90.00
_cell_angle_beta 90.00
_cell_angle_gamma 120.00
_symmetry_space_group_name_H-M 'R -3 m'
_symmetry_Int_Tables_number 166
_symmetry_space_group_name_Hall '-R 3 2"'
loop_
_atom_site_label
_atom_site_type_symbol
_atom_site_fract_x
_atom_site_fract_y
_atom_site_fract_z
Ac1 Ac 0.0000 0.0000 0.0000
Te1 Te 0.0000 0.0000 0.1167
Pt1 Pt 0.0000 0.0000 0.5000
```

## Properties
**Total magnetic moment**: 0.0 μB per formula unit
**Uncorrected energy**: -4.451 eV/atom
**Fermi-level density of states**: 8.39 states/eV/cell
**Formation energy without anion corrections**: -0.3430 eV/atom



Entry 6:
A relaxed structure of Cu2ReSe, computed with PBE.

```
data_Cu2ReSe
_cell_length_a 3.8032
_cell_length_b 3.8032
_cell_length_c 7.7886
_cell_angle_alpha 90.00
_cell_angle_beta 90.00
_cell_angle_gamma 90.00
_symmetry_space_group_name_H-M 'I -4 m 2'
_symmetry_Int_Tables_number 119
_symmetry_space_group_name_Hall 'I -4 -2'
loop_
_atom_site_label
_atom_site_type_symbol
_atom_site_fract_x
_atom_site_fract_y
_atom_site_fract_z
Cu1 Cu 0.0000 0.0000 0.0000
Cu2 Cu 0.0000 0.5000 0.2500
Re1 Re 0.0000 0.5000 0.7500
Se1 Se 0.0000 0.0000 0.5000
```

## Properties
**Total magnetic moment**: 0.9 μB per formula unit
**Uncorrected energy**: -5.483 eV/atom
**Fermi-level density of states**: 3.74 states/eV/cell
**Formation energy without anion corrections**: 0.5478 eV/atom



Copy entry 6 word for word.
A relaxed structure of Cu2ReSe, computed with PBE.

```
data_Cu2ReSe
_cell_length_a 3.8032
_cell_length_b 3.8032
_cell_length_c 7.7886
_cell_angle_alpha 90.00
_cell_angle_beta 90.00
_cell_angle_gamma 90.00
_symmetry_space_group_name_H-M 'I -4 m 2'
_symmetry_Int_Tables_number 119
_symmetry_space_group_name_Hall 'I -4 -2'
loop_
_atom_site_label
_atom_site_type_symbol
_atom_site_fract_x
_atom_site_fract_y
_atom_site_fract_z
Cu1 Cu 0.0000 0.0000 0.0000
Cu2 Cu 0.0000 0.5000 0.2500
Re1 Re 0.0000 0.5000 0.7500
Se1 Se 0.0000 0.0000 0.5000
```

## Properties
**Total magnetic moment**: 0.9 μB per formula unit
**Uncorrected energy**: -5.483 eV/atom
**Fermi-level density of states**: 3.74 states/eV/cell
**Formation energy without anion corrections**: 0.5478 eV/atom



Question: Among the records above, which one has the highest uncorrected energy?
Answer: Rb2CdPH



Question: Among the records above, which one has the highest Fermi-level density of states?
Answer: Cu3AsS3



What did the third record say?
A relaxed structure of AcAl3Cu3, computed with PBE.

```
data_AcAl3Cu3
_cell_length_a 7.2228
_cell_length_b 4.3339
_cell_length_c 8.9205
_cell_angle_alpha 90.00
_cell_angle_beta 110.56
_cell_angle_gamma 90.00
_symmetry_space_group_name_H-M 'P 1 21/m 1'
_symmetry_Int_Tables_number 11
loop_
_symmetry_equiv_pos_as_xyz
'x,y,z'
'-x,-y,-z'
'-x,y+1/2,-z'
'x,-y+1/2,z'
loop_
_atom_site_label
_atom_site_type_symbol
_atom_site_fract_x
_atom_site_fract_y
_atom_site_fract_z
Ac1 Ac 0.0548 0.2500 0.2182
Al1 Al 0.2275 0.2500 0.6663
Al2 Al 0.3532 0.7500 0.1159
Al3 Al 0.4591 0.7500 0.7128
Cu1 Cu 0.1281 0.7500 0.5052
Cu2 Cu 0.3466 0.2500 0.9745
Cu3 Cu 0.4470 0.7500 0.4173
```

## Properties
**Total magnetic moment**: 0.0 μB per formula unit
**Polymorph energy (0 for the lowest one)**: 0.00 eV/f.u.
**Uncorrected energy**: -4.190 eV/atom
**Fermi-level density of states**: 6.27 states/eV/cell